[1]
{
  "formula": "Ca2BiAs2",
  "functional": "PBE",
  "state": "relaxed",
  "lattice": [[-1.302, -0.410, 5.094], [5.017, -1.101, 1.194], [2.801, 4.243, 3.787]],
  "species": ["As", "As", "Ca", "Ca", "Bi"],
  "fractional_positions": [[0.382, 0.382, 0.237], [0.618, 0.618, 0.763], [0.750, 0.250, 0.500], [0.250, 0.750, 0.500], [0.000, 0.000, 0.000]],
  "spacegroup": "No. 139",
  "magnetic_moment_mub_per_fu": 0.00,
  "delta_e_f_kj_per_mol_fu": -242
}

***

[2]
{
  "formula": "CeTh2Tl",
  "functional": "PBE",
  "state": "relaxed",
  "lattice": [[4.800, 0.000, -0.024], [0.000, 4.753, 0.000], [-2.366, 0.000, 11.372]],
  "species": ["Ce", "Ce", "Th", "Th", "Th", "Th", "Tl", "Tl"],
  "fractional_positions": [[0.694, 0.750, 0.384], [0.306, 0.250, 0.616], [0.560, 0.250, 0.120], [0.440, 0.750, 0.880], [0.059, 0.750, 0.117], [0.941, 0.250, 0.883], [0.169, 0.250, 0.335], [0.831, 0.750, 0.665]],
  "spacegroup": "No. 11",
  "magnetic_moment_mub_per_fu": 1.00,
  "delta_e_f_kj_per_mol_fu": -4
}

***

[3]
{
  "formula": "Tl2TcI5",
  "functional": "PBE",
  "state": "relaxed",
  "lattice": [[6.295, 0.000, 0.000], [-3.147, 7.052, 0.000], [0.000, 0.000, 15.936]],
  "species": ["Tl", "Tl", "Tl", "Tl", "Tc", "Tc", "I", "I", "I", "I", "I", "I", "I", "I", "I", "I"],
  "fractional_positions": [[0.816, 0.631, 0.438], [0.816, 0.631, 0.062], [0.184, 0.369, 0.562], [0.184, 0.369, 0.938], [0.811, 0.622, 0.750], [0.189, 0.378, 0.250], [0.943, 0.887, 0.873], [0.943, 0.887, 0.627], [0.331, 0.662, 0.368], [0.331, 0.662, 0.132], [0.691, 0.382, 0.250], [0.309, 0.618, 0.750], [0.669, 0.338, 0.632], [0.669, 0.338, 0.868], [0.057, 0.113, 0.127], [0.057, 0.113, 0.373]],
  "formation_energy_uncorrected_ev_per_fu": -1.865,
  "spacegroup": "No. 63",
  "magnetic_moment_mub_per_fu": 2.99
}

***

[4]
{
  "formula": "Hg2MoAu",
  "functional": "PBE",
  "state": "relaxed",
  "lattice": [[5.777, 0.179, 0.635], [5.003, 2.894, 0.635], [1.764, 0.503, 5.080]],
  "species": ["Au", "Hg", "Hg", "Mo"],
  "fractional_positions": [[0.232, 0.232, 0.181], [0.995, 0.995, 0.079], [0.765, 0.765, 0.653], [0.508, 0.508, 0.587]],
  "spacegroup": "No. 8",
  "magnetic_moment_mub_per_fu": 0.00,
  "delta_e_f_kj_per_mol_fu": 165
}

***

[5]
{
  "formula": "KPa2Te7",
  "functional": "PBE",
  "state": "relaxed",
  "lattice": [[5.898, 0.000, 0.000], [0.000, 8.566, 0.234], [0.000, -3.655, 7.751]],
  "species": ["K", "Pa", "Pa", "Te", "Te", "Te", "Te", "Te", "Te", "Te"],
  "fractional_positions": [[0.000, 0.000, 0.000], [0.500, 0.711, 0.289], [0.500, 0.289, 0.711], [0.000, 0.715, 0.285], [0.000, 0.285, 0.715], [0.500, 0.083, 0.327], [0.500, 0.917, 0.673], [0.500, 0.327, 0.083], [0.500, 0.673, 0.917], [0.500, 0.500, 0.500]],
  "formation_energy_uncorrected_ev_per_fu": -6.350,
  "spacegroup": "No. 65",
  "magnetic_moment_mub_per_fu": 0.00
}

***

[6]
{
  "formula": "HoCo4Sn",
  "functional": "PBE",
  "state": "relaxed",
  "lattice": [[4.987, 0.000, 0.000], [2.494, 4.319, 0.000], [2.494, 1.440, 4.072]],
  "species": ["Co", "Co", "Co", "Co", "Ho", "Sn"],
  "fractional_positions": [[0.625, 0.625, 0.126], [0.625, 0.126, 0.625], [0.625, 0.625, 0.625], [0.126, 0.625, 0.625], [0.000, 0.000, 0.000], [0.250, 0.250, 0.250]],
  "spacegroup": "No. 216",
  "magnetic_moment_mub_per_fu": 5.02,
  "delta_e_f_kj_per_mol_fu": -90
}

***

[7]
{
  "formula": "Ni3MoPt4",
  "functional": "PBE",
  "state": "relaxed",
  "lattice": [[0.031, -2.211, -3.173], [-0.596, -3.138, 2.180], [-7.095, 3.587, -0.212]],
  "species": ["Ni", "Ni", "Ni", "Mo", "Pt", "Pt", "Pt", "Pt"],
  "fractional_positions": [[0.000, 0.500, 0.000], [0.752, 0.252, 0.504], [0.248, 0.748, 0.496], [0.500, 0.000, 0.000], [0.374, 0.374, 0.748], [0.626, 0.626, 0.252], [0.126, 0.126, 0.252], [0.874, 0.874, 0.748]],
  "spacegroup": "No. 139",
  "magnetic_moment_mub_per_fu": 1.16,
  "delta_e_f_kj_per_mol_fu": -132
}

***

[8]
{
  "formula": "Tb8CuTe4As3",
  "functional": "PBE",
  "state": "relaxed",
  "lattice": [[-6.986, -4.667, 0.807], [2.614, -5.028, -6.442], [5.063, 1.202, 6.646]],
  "species": ["Tb", "Tb", "Tb", "Tb", "Tb", "Tb", "Tb", "Tb", "Cu", "Te", "Te", "Te", "Te", "As", "As", "As"],
  "fractional_positions": [[0.238, 0.721, 0.982], [0.238, 0.721, 0.477], [0.261, 0.282, 0.521], [0.744, 0.721, 0.982], [0.256, 0.279, 0.018], [0.739, 0.718, 0.479], [0.762, 0.279, 0.523], [0.762, 0.279, 0.018], [0.000, 0.500, 0.000], [0.500, 0.000, 0.000], [0.500, 0.000, 0.500], [0.000, 0.000, 0.000], [0.000, 0.000, 0.500], [0.500, 0.500, 0.000], [0.500, 0.500, 0.500], [0.000, 0.500, 0.500]],
  "formation_energy_uncorrected_ev_per_fu": -20.803,
  "spacegroup": "No. 166",
  "magnetic_moment_mub_per_fu": 0.00
}

***

[9]
{
  "formula": "Er3FeHg",
  "functional": "PBE",
  "state": "relaxed",
  "lattice": [[-1.345, -0.997, -3.267], [-4.794, -5.825, 3.750], [-4.227, 7.388, -0.513]],
  "species": ["Er", "Er", "Er", "Er", "Er", "Er", "Fe", "Fe", "Hg", "Hg"],
  "fractional_positions": [[0.750, 0.675, 0.423], [0.250, 0.325, 0.577], [0.750, 0.312, 0.916], [0.250, 0.940, 0.774], [0.250, 0.688, 0.084], [0.750, 0.060, 0.226], [0.250, 0.941, 0.422], [0.750, 0.059, 0.578], [0.250, 0.363, 0.219], [0.750, 0.637, 0.781]],
  "spacegroup": "No. 11",
  "magnetic_moment_mub_per_fu": 1.03,
  "delta_e_f_kj_per_mol_fu": -107
}

***

[10]
{
  "formula": "RbTeRhI2",
  "functional": "PBE",
  "state": "relaxed",
  "lattice": [[6.735, 0.000, 0.000], [0.000, 6.735, 0.000], [0.000, 0.000, 6.624]],
  "species": ["I", "I", "Te", "Rh", "Rb"],
  "fractional_positions": [[0.000, 0.500, 0.000], [0.500, 0.000, 0.000], [0.000, 0.000, 0.500], [0.500, 0.500, 0.500], [0.000, 0.000, 0.000]],
  "formation_energy_uncorrected_ev_per_fu": 5.098,
  "spacegroup": "No. 123",
  "magnetic_moment_mub_per_fu": 4.05
}

***

[11]
{
  "formula": "Na4SrEu",
  "functional": "PBE",
  "state": "relaxed",
  "lattice": [[7.042, 0.000, 0.000], [3.521, 6.099, 0.000], [3.521, 2.033, 5.750]],
  "species": ["Eu", "Sr", "Na", "Na", "Na", "Na"],
  "fractional_positions": [[0.250, 0.250, 0.250], [0.000, 0.000, 0.000], [0.625, 0.625, 0.126], [0.625, 0.126, 0.625], [0.625, 0.625, 0.625], [0.126, 0.625, 0.625]],
  "spacegroup": "No. 216",
  "magnetic_moment_mub_per_fu": 8.25,
  "delta_e_f_kj_per_mol_fu": 25
}

***

[12]
{
  "formula": "SrTc2P",
  "functional": "PBE",
  "state": "relaxed",
  "lattice": [[-6.046, -0.827, -1.194], [-3.679, -3.054, -3.974], [-4.262, -4.527, -0.001]],
  "species": ["Sr", "Tc", "Tc", "P"],
  "fractional_positions": [[0.000, 0.000, 0.000], [0.181, 0.181, 0.181], [0.819, 0.819, 0.819], [0.500, 0.500, 0.500]],
  "spacegroup": "No. 166",
  "magnetic_moment_mub_per_fu": 0.00,
  "delta_e_f_kj_per_mol_fu": -71
}

***

[13]
{
  "formula": "NpAg2Se4",
  "functional": "PBE",
  "state": "relaxed",
  "lattice": [[7.206, -0.336, -2.109], [-4.126, 5.918, -2.109], [0.185, 0.336, 7.506]],
  "species": ["Np", "Np", "Ag", "Ag", "Ag", "Ag", "Se", "Se", "Se", "Se", "Se", "Se", "Se", "Se"],
  "fractional_positions": [[0.750, 0.250, 0.500], [0.000, 0.000, 0.000], [0.875, 0.429, 0.054], [0.179, 0.125, 0.554], [0.375, 0.821, 0.946], [0.571, 0.625, 0.446], [0.231, 0.890, 0.267], [0.037, 0.769, 0.659], [0.623, 0.963, 0.733], [0.110, 0.377, 0.341], [0.519, 0.287, 0.159], [0.713, 0.873, 0.233], [0.127, 0.360, 0.841], [0.640, 0.481, 0.767]],
  "formation_energy_uncorrected_ev_per_fu": -3.023,
  "spacegroup": "No. 122",
  "magnetic_moment_mub_per_fu": 2.65
}

***

[14]
{
  "formula": "NaBe2RePb",
  "functional": "PBE",
  "state": "relaxed",
  "lattice": [[4.397, 0.000, 0.000], [0.000, 5.076, 0.000], [0.000, 0.000, 4.397]],
  "species": ["Pb", "Re", "Be", "Be", "Na"],
  "fractional_positions": [[0.000, 0.500, 0.000], [0.500, 0.500, 0.500], [0.000, 0.000, 0.500], [0.500, 0.000, 0.000], [0.000, 0.000, 0.000]],
  "spacegroup": "No. 123",
  "magnetic_moment_mub_per_fu": 2.31,
  "delta_e_f_kj_per_mol_fu": 1058
}

***

[15]
{
  "formula": "SrTl6In",
  "functional": "PBE",
  "state": "relaxed",
  "lattice": [[0.228, 3.423, -6.053], [-1.551, -6.687, -1.135], [-4.804, 2.860, 4.141]],
  "species": ["Sr", "Tl", "Tl", "Tl", "Tl", "Tl", "Tl", "In"],
  "fractional_positions": [[0.000, 0.000, 0.000], [0.254, 0.734, 0.254], [0.254, 0.254, 0.734], [0.746, 0.266, 0.746], [0.266, 0.746, 0.746], [0.746, 0.746, 0.266], [0.734, 0.254, 0.254], [0.500, 0.500, 0.500]],
  "spacegroup": "No. 166",
  "magnetic_moment_mub_per_fu": 0.00,
  "delta_e_f_kj_per_mol_fu": -62
}

***

[16]
{
  "formula": "ErCd3Rh",
  "functional": "PBE",
  "state": "relaxed",
  "lattice": [[-1.066, 2.439, -2.991], [-8.942, -2.803, 0.903], [-1.947, 8.726, 7.809]],
  "species": ["Er", "Er", "Er", "Er", "Cd", "Cd", "Cd", "Cd", "Cd", "Cd", "Cd", "Cd", "Cd", "Cd", "Cd", "Cd", "Rh", "Rh", "Rh", "Rh"],
  "fractional_positions": [[0.750, 0.806, 0.986], [0.250, 0.694, 0.486], [0.750, 0.306, 0.514], [0.250, 0.194, 0.014], [0.250, 0.541, 0.087], [0.750, 0.459, 0.913], [0.250, 0.041, 0.413], [0.750, 0.959, 0.587], [0.250, 0.444, 0.711], [0.750, 0.056, 0.211], [0.250, 0.944, 0.789], [0.750, 0.684, 0.707], [0.250, 0.316, 0.293], [0.750, 0.184, 0.793], [0.750, 0.556, 0.289], [0.250, 0.816, 0.207], [0.250, 0.172, 0.628], [0.250, 0.672, 0.872], [0.750, 0.328, 0.128], [0.750, 0.828, 0.372]],
  "spacegroup": "No. 62",
  "magnetic_moment_mub_per_fu": 0.00,
  "delta_e_f_kj_per_mol_fu": -157
}

***

[17]
{
  "formula": "Zn2AsPb",
  "functional": "PBE",
  "state": "relaxed",
  "lattice": [[5.335, 0.003, -0.014], [1.136, 5.213, 0.014], [-2.519, -3.497, 3.145]],
  "species": ["As", "Pb", "Zn", "Zn"],
  "fractional_positions": [[0.750, 0.250, 0.500], [0.250, 0.750, 0.500], [0.966, 0.966, 0.000], [0.534, 0.534, 0.000]],
  "spacegroup": "No. 71",
  "magnetic_moment_mub_per_fu": 0.00,
  "delta_e_f_kj_per_mol_fu": 63
}

***

[18]
{
  "formula": "TaCd",
  "functional": "PBE",
  "state": "relaxed",
  "lattice": [[-2.115, 0.137, -2.091], [0.181, -2.379, 1.781], [-6.306, 4.518, 6.676]],
  "species": ["Cd", "Cd", "Ta", "Ta"],
  "fractional_positions": [[0.000, 0.000, 0.997], [0.333, 0.667, 0.253], [0.000, 0.000, 0.502], [0.333, 0.667, 0.748]],
  "spacegroup": "No. 164",
  "magnetic_moment_mub_per_fu": 0.00,
  "delta_e_f_kj_per_mol_fu": 48
}

***

[19]
{
  "formula": "Ce3Sm2Bi3",
  "functional": "PBE",
  "state": "relaxed",
  "lattice": [[6.572, 0.000, 0.000], [0.000, 9.445, 0.000], [0.000, -4.722, 8.179]],
  "species": ["Ce", "Ce", "Ce", "Ce", "Ce", "Ce", "Sm", "Sm", "Sm", "Sm", "Bi", "Bi", "Bi", "Bi", "Bi", "Bi"],
  "fractional_positions": [[0.750, 0.245, 0.000], [0.750, 0.755, 0.755], [0.750, 0.000, 0.245], [0.250, 0.755, 0.000], [0.250, 0.245, 0.245], [0.250, 0.000, 0.755], [0.000, 0.333, 0.667], [0.500, 0.667, 0.333], [0.000, 0.667, 0.333], [0.500, 0.333, 0.667], [0.750, 0.609, 0.000], [0.750, 0.391, 0.391], [0.750, 0.000, 0.609], [0.250, 0.391, 0.000], [0.250, 0.609, 0.609], [0.250, 0.000, 0.391]],
  "spacegroup": "No. 193",
  "magnetic_moment_mub_per_fu": 3.93,
  "delta_e_f_kj_per_mol_fu": -472
}

***

[20]
{
  "formula": "Y2Cu2Tc",
  "functional": "PBE",
  "state": "relaxed",
  "lattice": [[-0.080, 4.195, -5.464], [2.829, -4.963, -3.851], [-3.754, -1.368, -0.995]],
  "species": ["Y", "Y", "Y", "Y", "Tc", "Tc", "Cu", "Cu", "Cu", "Cu"],
  "fractional_positions": [[0.187, 0.687, 0.500], [0.687, 0.813, 0.500], [0.813, 0.313, 0.500], [0.313, 0.187, 0.500], [0.000, 0.000, 0.000], [0.500, 0.500, 0.000], [0.377, 0.877, 0.000], [0.877, 0.623, 0.000], [0.623, 0.123, 0.000], [0.123, 0.377, 0.000]],
  "spacegroup": "No. 127",
  "magnetic_moment_mub_per_fu": 0.11,
  "delta_e_f_kj_per_mol_fu": 15
}